a | {"formula": "Mg3Ga5Ag2", "functional": "PBE", "state": "optimized geometry", "vol_a3_per_atom": 19.9, "m_tot_mub_per_atom": 0.000, "mass_density_g_cm3": 5.3, "lattice": [[-5.5059, 6.2431, 2.8985], [5.5059, -6.2431, 2.8985], [5.5059, 6.2431, -2.8985]], "species": ["Mg", "Mg", "Mg", "Mg", "Mg", "Mg", "Ga", "Ga", "Ga", "Ga", "Ga", "Ga", "Ga", "Ga", "Ga", "Ga", "Ag", "Ag", "Ag", "Ag"], "frac_coords": [[0.2236, 0.1241, 0.3477], [0.2500, 0.2500, 0.0000], [0.2764, 0.6241, 0.9006], [0.7236, 0.3759, 0.0994], [0.7500, 0.7500, 0.0000], [0.7764, 0.8759, 0.6523], [0.1427, 0.3837, 0.5265], [0.2500, 0.5008, 0.2507], [0.2500, 0.7500, 0.5000], [0.2500, 0.9992, 0.7492], [0.3573, 0.8837, 0.2410], [0.6427, 0.1163, 0.7590], [0.7500, 0.0008, 0.2507], [0.7500, 0.2500, 0.5000], [0.7500, 0.4992, 0.7492], [0.8573, 0.6163, 0.4735], [0.1538, 0.8644, 0.0182], [0.3462, 0.3644, 0.7106], [0.6538, 0.6356, 0.2894], [0.8462, 0.1356, 0.9818]]}

b | {"formula": "Mg3Ga5Ag2", "functional": "PBE", "state": "optimized geometry", "vol_a3_per_atom": 19.7, "m_tot_mub_per_atom": 0.000, "mass_density_g_cm3": 5.4, "lattice": [[4.7658, -6.0658, 0.0000], [4.7658, 6.0658, 0.0000], [-3.6772, 0.0000, 6.7984]], "species": ["Mg", "Mg", "Mg", "Mg", "Mg", "Mg", "Ga", "Ga", "Ga", "Ga", "Ga", "Ga", "Ga", "Ga", "Ga", "Ga", "Ag", "Ag", "Ag", "Ag"], "frac_coords": [[0.0748, 0.3219, 0.6804], [0.2497, 0.7503, 0.7500], [0.3219, 0.0748, 0.1804], [0.6781, 0.9252, 0.8196], [0.7503, 0.2497, 0.2500], [0.9252, 0.6781, 0.3196], [0.0089, 0.3005, 0.0213], [0.0234, 0.9766, 0.7500], [0.3005, 0.0089, 0.5213], [0.3010, 0.6990, 0.2500], [0.4869, 0.5131, 0.7500], [0.5131, 0.4869, 0.2500], [0.6990, 0.3010, 0.7500], [0.6995, 0.9911, 0.4787], [0.9766, 0.0234, 0.2500], [0.9911, 0.6995, 0.9787], [0.1955, 0.4269, 0.4055], [0.4269, 0.1955, 0.9055], [0.5731, 0.8045, 0.0945], [0.8045, 0.5731, 0.5945]]}

If we sort the structures by their calculated energies, the order from most to least stable is a, b.

a | {"formula": "MgGa2Ag3", "functional": "PBE", "state": "optimized geometry", "vol_a3_per_atom": 17.8, "m_tot_mub_per_atom": 0.000, "mass_density_g_cm3": 7.6, "lattice": [[2.0971, -6.1793, 0.0000], [2.0971, 6.1793, 0.0000], [0.0000, 0.0000, 4.1121]], "species": ["Mg", "Ga", "Ga", "Ag", "Ag", "Ag"], "frac_coords": [[0.0000, 0.0000, 0.0000], [0.3281, 0.6719, 0.0000], [0.6719, 0.3281, 0.0000], [0.1658, 0.8342, 0.5000], [0.5000, 0.5000, 0.5000], [0.8342, 0.1658, 0.5000]]}

b | {"formula": "MgGa2Ag3", "functional": "PBE", "state": "optimized geometry", "vol_a3_per_atom": 18.7, "m_tot_mub_per_atom": 0.000, "mass_density_g_cm3": 7.2, "lattice": [[7.0871, -2.2695, 0.0000], [7.0871, 2.2695, 0.0000], [-1.0326, 0.0000, 6.9888]], "species": ["Mg", "Mg", "Ga", "Ga", "Ga", "Ga", "Ag", "Ag", "Ag", "Ag", "Ag", "Ag"], "frac_coords": [[0.1528, 0.1528, 0.2379], [0.8472, 0.8472, 0.7621], [0.2240, 0.2240, 0.7051], [0.4754, 0.4754, 0.8178], [0.5246, 0.5246, 0.1822], [0.7760, 0.7760, 0.2949], [0.0383, 0.0383, 0.6996], [0.3249, 0.3249, 0.0581], [0.3667, 0.3667, 0.4699], [0.6333, 0.6333, 0.5301], [0.6751, 0.6751, 0.9419], [0.9617, 0.9617, 0.3004]]}

If we sort the structures by their calculated energies, the order from most to least stable is a, b.

a | {"formula": "MgGa4Ag7", "functional": "PBE", "state": "optimized geometry", "vol_a3_per_atom": 19.2, "m_tot_mub_per_atom": 0.000, "mass_density_g_cm3": 7.6, "lattice": [[5.2607, -2.5617, 0.0000], [5.2607, 2.5617, 0.0000], [-4.8825, 0.0000, 8.5357]], "species": ["Mg", "Ga", "Ga", "Ga", "Ga", "Ag", "Ag", "Ag", "Ag", "Ag", "Ag", "Ag"], "frac_coords": [[0.0000, 0.0000, 0.0000], [0.2755, 0.2755, 0.6868], [0.4161, 0.4161, 0.2272], [0.5839, 0.5839, 0.7728], [0.7245, 0.7245, 0.3132], [0.0433, 0.0433, 0.3772], [0.2093, 0.2093, 0.9188], [0.3436, 0.3436, 0.4529], [0.5000, 0.5000, 0.0000], [0.6564, 0.6564, 0.5471], [0.7907, 0.7907, 0.0812], [0.9567, 0.9567, 0.6228]]}

b | {"formula": "MgGa4Ag7", "functional": "PBE", "state": "optimized geometry", "vol_a3_per_atom": 18.2, "m_tot_mub_per_atom": 0.000, "mass_density_g_cm3": 8.1, "lattice": [[5.1692, 0.0000, 0.0000], [-0.4172, 5.3547, 0.0000], [-1.4809, -0.6596, 7.8692]], "species": ["Mg", "Ga", "Ga", "Ga", "Ga", "Ag", "Ag", "Ag", "Ag", "Ag", "Ag", "Ag"], "frac_coords": [[0.0000, 0.0000, 0.0000], [0.1505, 0.3753, 0.6846], [0.3817, 0.7961, 0.2382], [0.6183, 0.2039, 0.7618], [0.8495, 0.6247, 0.3154], [0.0000, 0.5000, 0.0000], [0.2309, 0.3043, 0.3416], [0.2487, 0.8730, 0.5537], [0.4587, 0.7457, 0.9094], [0.5413, 0.2543, 0.0906], [0.7513, 0.1270, 0.4463], [0.7691, 0.6957, 0.6584]]}

If we sort the structures by their calculated energies, the order from most to least stable is b, a.